# MgZrInRu (PBE, optimized geometry)
# Total energy, eV/atom: -5.743
# ρ, g/cm³: 7.45
data_MgZrInRu
_chemical_formula_sum 'Mg4 Zr4 In4 Ru4'
_cell_length_a 6.661
_cell_length_b 6.661
_cell_length_c 6.661
_cell_angle_alpha 90.00
_cell_angle_beta 90.00
_cell_angle_gamma 90.00
_symmetry_space_group_name_H-M 'F -4 3 m'
_symmetry_Int_Tables_number 216
_symmetry_space_group_name_Hall 'F -4 2 3'
loop_
_atom_site_label
_atom_site_fract_x
_atom_site_fract_y
_atom_site_fract_z
Mg1 0.000 0.000 0.000
Zr1 0.250 0.250 0.750
In1 0.250 0.250 0.250
Ru1 0.000 0.000 0.500